(1)
Density functional theory data (PBE) for crystalline HoEr2Lu3OsS2 at its relaxed geometry.

For the uncorrected energy, the calculation gives -6.007 eV/atom.

abc: 3.9400 7.6822 7.6822
angles: 119.68 90.00 90.00
Closest atoms and distances in Å follow each position.
Positions (direct):
Ho 0.0000 0.0000 0.0000  4 S 3.05, 1 Os 3.14, 6 Lu 3.31-3.36
Er 0.0000 0.4044 0.8078  4 S 3.06-3.07, 1 Os 3.09, 6 Lu 3.31-3.36
Er 0.0000 0.8078 0.4044  4 S 3.06-3.07, 1 Os 3.09, 6 Lu 3.31-3.36
Lu 0.5000 0.1545 0.4049  2 Os 2.76, 2 S 2.94
Lu 0.5000 0.4049 0.1545  2 Os 2.76, 2 S 2.94
Lu 0.5000 0.6555 0.6555  2 Os 2.75, 2 S 2.93
Os 0.0000 0.4070 0.4070  6 Lu 2.75-2.76
S 0.5000 0.0711 0.7390  3 Lu 2.93-2.94, 2 Ho 3.05, 4 Er 3.06-3.07
S 0.5000 0.7390 0.0711  3 Lu 2.93-2.94, 2 Ho 3.05, 4 Er 3.06-3.07

(2)
Density functional theory data (PBE) for crystalline HoEr2Lu3OsSe2 at its relaxed geometry.

For the uncorrected energy, the calculation gives -5.868 eV/atom.

abc: 3.9595 7.8749 7.8749
angles: 119.70 90.00 90.00
Closest atoms and distances in Å follow each position.
Positions (direct):
Ho 0.0000 0.0000 0.0000  4 Se 3.11, 1 Os 3.17, 6 Lu 3.39-3.44
Er 0.0000 0.3990 0.7966  1 Os 3.12, 4 Se 3.12-3.13, 6 Lu 3.37-3.44
Er 0.0000 0.7966 0.3990  1 Os 3.12, 4 Se 3.12-3.13, 6 Lu 3.37-3.44
Lu 0.5000 0.1542 0.3990  2 Os 2.77, 2 Se 3.04-3.05
Lu 0.5000 0.3990 0.1542  2 Os 2.77, 2 Se 3.04-3.05
Lu 0.5000 0.6444 0.6444  2 Os 2.76, 2 Se 3.03
Os 0.0000 0.4013 0.4013  6 Lu 2.76-2.77
Se 0.5000 0.0656 0.7327  3 Lu 3.03-3.05, 2 Ho 3.11, 4 Er 3.12-3.13
Se 0.5000 0.7327 0.0656  3 Lu 3.03-3.05, 2 Ho 3.11, 4 Er 3.12-3.13

(3)
Density functional theory data (PBE) for crystalline Ho2ErLu3Te2Os at its relaxed geometry.

For the uncorrected energy, the calculation gives -5.714 eV/atom.

abc: 4.0400 8.1693 8.1693
angles: 120.07 90.00 90.00
Closest atoms and distances in Å follow each position.
Positions (direct):
Ho 0.0000 0.1944 0.8056  1 Os 3.18, 4 Te 3.23-3.24, 4 Lu 3.43
Ho 0.0000 0.8056 0.1944  1 Os 3.18, 4 Te 3.23-3.24, 4 Lu 3.43
Er 0.0000 0.4173 0.4173  1 Os 3.17, 4 Te 3.24, 4 Lu 3.43
Lu 0.5000 0.0418 0.0418  2 Os 2.79
Lu 0.5000 0.5694 0.8054  2 Os 2.79
Lu 0.5000 0.8054 0.5694  2 Os 2.79
Te 0.5000 0.1391 0.4723  3 Lu 3.19-3.20, 4 Ho 3.23-3.24, 2 Er 3.24
Te 0.5000 0.4723 0.1391  3 Lu 3.19-3.20, 4 Ho 3.23-3.24, 2 Er 3.24
Os 0.0000 0.8052 0.8052  6 Lu 2.79

(4)
Density functional theory data (PBE) for crystalline HoEr2Lu3Te2Os at its relaxed geometry.

For the uncorrected energy, the calculation gives -5.710 eV/atom.

abc: 4.0384 8.1597 8.1597
angles: 119.93 90.00 90.00
Closest atoms and distances in Å follow each position.
Positions (direct):
Ho 0.0000 0.0000 0.0000  1 Os 3.18, 4 Te 3.23, 4 Lu 3.43
Er 0.0000 0.3888 0.7771  1 Os 3.17, 4 Te 3.23, 4 Lu 3.42-3.43
Er 0.0000 0.7771 0.3888  1 Os 3.17, 4 Te 3.23, 4 Lu 3.42-3.43
Lu 0.5000 0.1526 0.3890  2 Os 2.79
Lu 0.5000 0.3890 0.1526  2 Os 2.79
Lu 0.5000 0.6249 0.6249  2 Os 2.79
Te 0.5000 0.0554 0.7220  3 Lu 3.19-3.20, 2 Ho 3.23, 4 Er 3.23
Te 0.5000 0.7220 0.0554  3 Lu 3.19-3.20, 2 Ho 3.23, 4 Er 3.23
Os 0.0000 0.3892 0.3892  6 Lu 2.79

(5)
Density functional theory data (PBE) for crystalline Ho3Er2Lu2Te2Pd2 at its relaxed geometry.

For the uncorrected energy, the calculation gives -5.270 eV/atom.

abc: 9.3344 9.3344 9.3344
angles: 155.75 67.25 118.35
Closest atoms and distances in Å follow each position.
Positions (direct):
Ho 0.0000 0.0000 0.0000  3 Te 3.19-3.22
Ho 0.4527 0.5827 0.8700  2 Pd 2.87, 3 Te 3.11-3.18
Ho 0.7127 0.5827 0.1300  2 Pd 2.87, 3 Te 3.11-3.18
Er 0.0898 0.7345 0.3554  2 Pd 2.90, 2 Te 3.14
Er 0.3791 0.7345 0.6446  2 Pd 2.90, 2 Te 3.14
Lu 0.0573 0.3747 0.6826  2 Pd 2.81, 1 Te 3.13
Lu 0.6920 0.3747 0.3174  2 Pd 2.81, 1 Te 3.13
Te 0.3361 0.3361 0.0000  3 Ho 3.11-3.22, 4 Er 3.14
Te 0.7363 0.2363 0.5000  2 Lu 3.13, 6 Ho 3.18-3.19
Pd 0.3027 0.0672 0.2355  2 Lu 2.81, 2 Ho 2.87, 2 Er 2.90
Pd 0.8316 0.0672 0.7645  2 Lu 2.81, 2 Ho 2.87, 2 Er 2.90

(6)
Density functional theory data (PBE) for crystalline Ho3Er2Lu3Te at its relaxed geometry.

The value obtained for the energy relative to the lowest polymorph listed for this composition is 0.0 meV/atom.

abc: 9.0967 9.0967 3.7271
angles: 90.00 90.00 120.00
Closest atoms and distances in Å follow each position.
Positions (direct):
Ho 0.0000 0.2772 0.0000  2 Te 3.14, 2 Er 3.32
Ho 0.2772 0.0000 0.0000  2 Te 3.14, 2 Er 3.32
Ho 0.7228 0.7228 0.0000  2 Te 3.14, 2 Er 3.32
Er 0.3333 0.6667 0.0000  3 Ho 3.32, 6 Lu 3.38
Er 0.6667 0.3333 0.0000  3 Ho 3.32, 6 Lu 3.38
Lu 0.0000 0.6141 0.5000  4 Er 3.38, 1 Te 3.51, 6 Ho 3.59-3.65, 2 Lu 3.73
Lu 0.3859 0.3859 0.5000  4 Er 3.38, 1 Te 3.51, 6 Ho 3.59-3.65, 2 Lu 3.73
Lu 0.6141 0.0000 0.5000  4 Er 3.38, 1 Te 3.51, 6 Ho 3.59-3.65, 2 Lu 3.73
Te 0.0000 0.0000 0.5000  6 Ho 3.14, 3 Lu 3.51